Compound: CaTcRh2
Source: Alexandria
Functional: SCAN
Structure: PBEsol geometry

Summary:
DOS at the Fermi energy in states/eV/f.u.: 3.7
Symmetry: Pmm2 (25)
Energy of formation from the pure elements in eV per atom: 0.170
Final energy in eV for the cell shown: -111.59

Lattice parameters (Å, degrees): 2.739 3.932 6.151 90.00 90.00 90.00
Last column: magnetic moment on the atom in μB.
Positions (direct):
1 Tc 0.000 0.000 0.431  0.44
2 Rh 0.000 0.000 0.031  0.30
3 Rh 0.500 0.500 0.270  0.18
4 Ca 0.500 0.500 0.768  0.02

---

Compound: Ca2TeRh2
Source: Alexandria
Functional: SCAN
Structure: PBEsol geometry

Summary:
DOS at the Fermi energy in states/eV/f.u.: 2.5
Symmetry: I4/mmm (139)
ΔE_f (raw) in eV/atom: -0.5861
Final energy in eV for the cell shown: -127.05

Lattice parameters (Å, degrees): 3.670 3.670 8.778 102.07 102.07 90.00
Last column: magnetic moment on the atom in μB.
Positions (direct):
1 Rh 0.750 0.250 0.500  0.87
2 Rh 0.250 0.750 0.500  0.87
3 Ca 0.611 0.611 0.222  -0.02
4 Ca 0.389 0.389 0.778  -0.02
5 Te 0.000 0.000 0.000  0.00

---

Compound: CaTi2Rh
Source: Alexandria
Functional: SCAN
Structure: PBEsol geometry

Summary:
DOS at the Fermi energy in states/eV/f.u.: 6.0
Symmetry: Fm-3m (225)
Energy of formation from the pure elements in eV per atom: 0.046
Final energy in eV for the cell shown: -75.31

Lattice parameters (Å, degrees): 4.576 4.576 4.576 60.00 60.00 60.00
Positions (direct):
1 Ti 0.750 0.750 0.750
2 Ti 0.250 0.250 0.250
3 Rh 0.500 0.500 0.500
4 Ca 0.000 0.000 0.000

---

Compound: CaTl2Rh2
Source: Alexandria
Functional: SCAN
Structure: PBEsol geometry

Summary:
DOS at the Fermi energy in states/eV/f.u.: 1.9
Symmetry: P4/mbm (127)
Energy of formation from the pure elements in eV per atom: -0.207
Final energy in eV for the cell shown: -445.92

Lattice parameters (Å, degrees): 3.244 7.709 7.709 90.00 90.00 90.00
Positions (direct):
1 Rh 0.000 0.137 0.363
2 Rh 0.000 0.863 0.637
3 Rh 0.000 0.637 0.137
4 Rh 0.000 0.363 0.863
5 Tl 0.500 0.659 0.841
6 Tl 0.500 0.841 0.341
7 Tl 0.500 0.159 0.659
8 Tl 0.500 0.341 0.159
9 Ca 0.000 0.500 0.500
10 Ca 0.000 0.000 0.000

---

Compound: CaTlZnRh2
Source: Alexandria
Functional: SCAN
Structure: PBEsol geometry

Summary:
DOS at the Fermi energy in states/eV/f.u.: 3.1
Symmetry: P4/mmm (123)
Energy of formation from the pure elements in eV per atom: 1.301
Final energy in eV for the cell shown: -156.57

Lattice parameters (Å, degrees): 4.701 4.701 5.411 90.00 90.00 90.00
Positions (direct):
1 Zn 0.500 0.500 0.500
2 Rh 0.500 0.000 0.000
3 Rh 0.000 0.500 0.000
4 Ca 0.000 0.000 0.000
5 Tl 0.000 0.000 0.500

---

Compound: CaRhW2
Source: Alexandria
Functional: SCAN
Structure: PBEsol geometry

Summary:
DOS at the Fermi energy in states/eV/f.u.: 2.9
Symmetry: Cmmm (65)
Energy of formation from the pure elements in eV per atom: 0.657
Energy above the most stable polymorph in this dataset in eV/f.u.: 0.70
Final energy in eV for the cell shown: -180.18

Lattice parameters (Å, degrees): 2.719 5.209 5.391 118.89 90.00 90.00
Positions (direct):
1 Ca 0.500 0.000 0.000
2 W 0.000 0.000 0.500
3 W 0.000 0.500 0.500
4 Rh 0.500 0.500 0.000

---

> Which of these has the lowest final energy?

CaTl2Rh2

---

Copy entry 5 word for word.
Compound: CaTlZnRh2
Source: Alexandria
Functional: SCAN
Structure: PBEsol geometry

Summary:
DOS at the Fermi energy in states/eV/f.u.: 3.1
Symmetry: P4/mmm (123)
Energy of formation from the pure elements in eV per atom: 1.301
Final energy in eV for the cell shown: -156.57

Lattice parameters (Å, degrees): 4.701 4.701 5.411 90.00 90.00 90.00
Positions (direct):
1 Zn 0.500 0.500 0.500
2 Rh 0.500 0.000 0.000
3 Rh 0.000 0.500 0.000
4 Ca 0.000 0.000 0.000
5 Tl 0.000 0.000 0.500

---

> The highest final energy belongs to which entry?

CaTi2Rh

---

> Look up the final energy of the sixth one.

-180.18 eV for the cell shown